w:
# Na2In6Hg

Crystalline Na2In6Hg at its relaxed geometry (PBE-GGA, Alexandria).

Calculated values
Space group: C2/m (12)
Total magnetic moment, Bohr magnetons per cell: 0.0
Density, Mg/m³: 6.349
Crystal system: monoclinic

The structure in POSCAR format:
```
Na2In6Hg
1.0
5.4231 0.0000 -1.6217
-0.8215 5.1475 -2.7472
-0.3410 0.2206 8.7379
Na In Hg
2 6 1
Cartesian
4.6537 1.0800 5.6839
-0.3932 4.2881 -1.3149
1.2124 4.3177 4.0543
3.0481 1.0503 0.3147
3.0072 4.4901 0.1779
0.4608 2.5603 1.5409
1.2533 0.8780 4.1911
3.7997 2.8078 2.8281
2.3008 2.5737 -2.1845
```

***

x:
# Na2In6Hg

Crystalline Na2In6Hg at its relaxed geometry (PBE-GGA, Alexandria).

Calculated values
Space group: C2/m (12)
Total magnetic moment, Bohr magnetons per cell: 0.0
Density, Mg/m³: 6.101
Crystal system: monoclinic

The structure in POSCAR format:
```
Na2In6Hg
1.0
-3.0176 -2.9849 3.1617
3.3768 0.4508 8.0621
-1.3005 4.4824 7.4041
Na In Hg
2 6 1
Cartesian
0.4971 1.6260 6.4288
-1.4384 0.3222 12.1990
1.7342 1.5368 11.9405
-2.6754 0.4114 6.6874
-0.3049 -1.6318 7.0209
-1.6239 1.9681 9.1517
0.6826 -0.0199 9.4761
-0.6363 3.5800 11.6070
-3.0176 -2.9849 3.1617
```

***

The structure shown above that is most stable: w.